Entry 1:
Material: La2PAu
Method: DFT, SCAN
State: PBEsol geometry

POSCAR file:
```
La2PAu
1.0
4.264 0.000 0.000
0.000 4.264 0.000
0.000 0.000 6.100
La P Au
2 1 1
direct
0.500 0.500 0.000
0.000 0.000 0.500
0.000 0.000 0.000
0.500 0.500 0.500
```

* Fermi-level density of states: 3.875 states/eV per cell
* SG: P4/mmm (123)
* density: 7.57 g/cm3
* VASP energy: -1.57028 Ha/atom
* energy relative to the elements: -29.701 kcal/mol of atoms

***

Entry 2:
Material: LaPAu3
Method: DFT, SCAN
State: PBEsol geometry

POSCAR file:
```
LaPAu3
1.0
4.767 0.000 0.000
0.000 4.767 0.000
0.000 0.000 4.767
Au La P
3 1 1
direct
0.500 0.000 0.000
0.000 0.000 0.500
0.000 0.500 0.000
0.500 0.500 0.500
0.000 0.000 0.000
```

* Fermi-level density of states: 3.409 states/eV per cell
* SG: Pm-3m (221)
* density: 11.66 g/cm3
* VASP energy: -1.93590 Ha/atom
* energy relative to the elements: -11.150 kcal/mol of atoms